1 | {"formula": "LiAc2Zr", "functional": "PBE", "state": "optimized geometry", "cell": [[-3.055, -0.657, 1.701], [-0.769, -3.307, 1.064], [4.252, 0.857, 11.691]], "species": ["Ac", "Ac", "Li", "Zr"], "frac_coords": [[0.086, 0.086, 0.741], [0.914, 0.914, 0.259], [0.500, 0.500, 0.500], [0.000, 0.000, 0.000]]}

---

2 | {"formula": "LiAc2Zr", "functional": "PBE", "state": "optimized geometry", "cell": [[3.747, 0.000, 0.000], [0.000, 3.747, 0.000], [0.000, 0.000, 9.429]], "species": ["Li", "Zr", "Ac", "Ac"], "frac_coords": [[0.500, 0.500, 0.000], [0.500, 0.500, 0.500], [0.000, 0.000, 0.252], [0.000, 0.000, 0.748]]}

---

Here is how they stack up, most stable first: 2, 1.

---

1 | {"formula": "AcLu2", "functional": "PBE", "state": "optimized geometry", "cell": [[4.070, 0.000, 0.000], [0.000, 4.070, 0.000], [-2.035, -2.035, 6.225]], "species": ["Ac", "Lu", "Lu"], "frac_coords": [[0.000, 0.000, 0.000], [0.319, 0.319, 0.639], [0.681, 0.681, 0.361]]}

---

2 | {"formula": "AcLu2", "functional": "PBE", "state": "optimized geometry", "cell": [[-1.506, 5.115, 4.205], [-0.545, -1.138, 6.672], [4.719, 2.403, 4.250]], "species": ["Ac", "Ac", "Lu", "Lu", "Lu", "Lu"], "frac_coords": [[0.000, 0.000, 0.000], [0.250, 0.250, 0.250], [0.625, 0.625, 0.125], [0.625, 0.125, 0.625], [0.125, 0.625, 0.625], [0.625, 0.625, 0.625]]}

---

Here is how they stack up, most stable first: 1, 2.

---

1 | {"formula": "AcLuN", "functional": "PBE", "state": "optimized geometry", "cell": [[-0.487, 5.315, -4.013], [1.431, -1.895, -2.683], [-3.551, 0.033, 0.475]], "species": ["N", "Lu", "Ac"], "frac_coords": [[0.283, 0.333, 0.667], [0.142, 0.000, 0.000], [0.575, 0.667, 0.333]]}

---

2 | {"formula": "AcLuN", "functional": "PBE", "state": "optimized geometry", "cell": [[-1.706, 1.773, 2.249], [-1.896, -2.661, 0.660], [6.413, -1.577, 3.637]], "species": ["Ac", "N", "Lu"], "frac_coords": [[0.293, 0.293, 0.585], [0.116, 0.116, 0.233], [0.591, 0.591, 0.182]]}

---

Here is how they stack up, most stable first: 1, 2.

---

1 | {"formula": "NaAc2Lu", "functional": "PBE", "state": "optimized geometry", "cell": [[-2.533, -2.443, 2.255], [3.171, -0.921, 2.563], [-2.199, 7.170, 5.298]], "species": ["Ac", "Ac", "Lu", "Na"], "frac_coords": [[0.000, 0.000, 0.772], [0.000, 0.000, 0.228], [0.500, 0.500, 0.000], [0.500, 0.500, 0.500]]}

---

2 | {"formula": "NaAc2Lu", "functional": "PBE", "state": "optimized geometry", "cell": [[6.002, 0.000, 0.000], [3.001, 5.198, 0.000], [3.001, 1.733, 4.901]], "species": ["Ac", "Ac", "Lu", "Na"], "frac_coords": [[0.250, 0.250, 0.250], [0.750, 0.750, 0.750], [0.000, 0.000, 0.000], [0.500, 0.500, 0.500]]}

---

Here is how they stack up, most stable first: 1, 2.